No. 1
The following is a DFT calculation (PBE) of Ta2As2Pt after structural relaxation.

Values from the calculation:
formation enthalpy at 0 K = -0.1751 eV per atom
volume = 16.983 A^3/atom
DOS(E_F) = 5.88 states/eV/cell
space-group type = P4/mbm, No. 127

Geometry as POSCAR:
```
Ta2As2Pt
1.0
7.1783 0.0000 0.0000
0.0000 7.1783 0.0000
0.0000 0.0000 3.2959
Ta As Pt
4 4 2
direct
0.1437 0.3563 0.0000
0.3563 0.8563 0.0000
0.6437 0.1437 0.0000
0.8563 0.6437 0.0000
0.1511 0.6511 0.5000
0.3489 0.1511 0.5000
0.6511 0.8489 0.5000
0.8489 0.3489 0.5000
0.0000 0.0000 0.5000
0.5000 0.5000 0.5000
```

***

No. 2
The following is a DFT calculation (PBE) of BaCr3 after structural relaxation.

Values from the calculation:
formation enthalpy at 0 K = 1.0816 eV per atom
volume = 22.801 A^3/atom
DOS(E_F) = 4.50 states/eV/cell
space-group type = Fm-3m, No. 225
excess energy over the best structure of this formula in the dataset = 336 meV per atom

Geometry as POSCAR:
```
BaCr3
1.0
0.0000 3.5727 3.5727
3.5727 0.0000 3.5727
3.5727 3.5727 0.0000
Ba Cr
1 3
direct
0.0000 0.0000 0.0000
0.2500 0.2500 0.2500
0.5000 0.5000 0.5000
0.7500 0.7500 0.7500
```

***

No. 3
The following is a DFT calculation (PBE) of Sc4SnSbN after structural relaxation.

Values from the calculation:
E_form (uncorrected) = -7.59 eV per formula unit
volume = 20.495 A^3/atom
DOS(E_F) = 14.25 states/eV/cell
space-group type = Cmcm, No. 63

Geometry as POSCAR:
```
Sc4SnSbN
1.0
3.0961 -7.4887 0.0000
3.0961 7.4887 0.0000
0.0000 0.0000 6.1876
Sc Sn Sb N
8 2 2 2
direct
0.0000 0.5000 0.0000
0.0000 0.5000 0.5000
0.0962 0.9038 0.7500
0.4039 0.5961 0.7500
0.5000 0.0000 0.0000
0.5000 0.0000 0.5000
0.5961 0.4039 0.2500
0.9038 0.0962 0.2500
0.1039 0.8961 0.2500
0.8961 0.1039 0.7500
0.3954 0.6046 0.2500
0.6046 0.3954 0.7500
0.2497 0.7503 0.7500
0.7503 0.2497 0.2500
```

***

No. 4
The following is a DFT calculation (PBE) of NaGa2Pd after structural relaxation.

Values from the calculation:
formation enthalpy at 0 K = -0.3096 eV per atom
volume = 18.909 A^3/atom
DOS(E_F) = 1.60 states/eV/cell
space-group type = P4/mmm, No. 123

Geometry as POSCAR:
```
NaGa2Pd
1.0
3.1703 0.0000 0.0000
0.0000 3.1703 0.0000
0.0000 0.0000 7.5251
Na Ga Pd
1 2 1
direct
0.0000 0.0000 0.0000
0.5000 0.5000 0.3021
0.5000 0.5000 0.6979
0.0000 0.0000 0.5000
```

***

No. 5
The following is a DFT calculation (PBE) of Cu3H2Se2 after structural relaxation.

Values from the calculation:
volume = 13.341 A^3/atom
uncorrected energy = -3.633 eV per atom
DOS(E_F) = 2.21 states/eV/cell
space-group type = P-1, No. 2

Geometry as POSCAR:
```
Cu3H2Se2
1.0
2.7734 0.0000 0.0000
-0.3162 5.3292 0.0000
-0.4810 -0.0493 6.3183
Cu H Se
3 2 2
direct
0.0000 0.0000 0.0000
0.4899 0.7551 0.2882
0.5101 0.2449 0.7118
0.0333 0.2660 0.8690
0.9667 0.7340 0.1310
0.4298 0.2741 0.3233
0.5702 0.7259 0.6767
```

***

No. 6
The following is a DFT calculation (PBE) of Tb3MgSn12 after structural relaxation.

Values from the calculation:
formation enthalpy at 0 K = -0.3354 eV per atom
volume = 26.174 A^3/atom
DOS(E_F) = 5.80 states/eV/cell
space-group type = P4/mmm, No. 123

Geometry as POSCAR:
```
Tb3MgSn12
1.0
4.6809 0.0000 0.0000
0.0000 4.6809 0.0000
0.0000 0.0000 19.1134
Tb Mg Sn
3 1 12
direct
0.0000 0.0000 0.0000
0.0000 0.0000 0.2445
0.0000 0.0000 0.7555
0.0000 0.0000 0.5000
0.0000 0.5000 0.1240
0.0000 0.5000 0.3767
0.0000 0.5000 0.6233
0.0000 0.5000 0.8760
0.5000 0.0000 0.1240
0.5000 0.0000 0.3767
0.5000 0.0000 0.6233
0.5000 0.0000 0.8760
0.5000 0.5000 0.0000
0.5000 0.5000 0.2515
0.5000 0.5000 0.5000
0.5000 0.5000 0.7485
```